Record 1
# SrHoGa PBE-GGA optimized geometry
# * crystal system: cubic
data_SrHoGa
_cell_length_a 7.186
_cell_length_b 7.186
_cell_length_c 7.186
_cell_angle_alpha 90.00
_cell_angle_beta 90.00
_cell_angle_gamma 90.00
_symmetry_space_group_name_H-M 'F -4 3 m'
_symmetry_Int_Tables_number 216
_symmetry_space_group_name_Hall 'F -4 2 3'
loop_
_atom_site_label
_atom_site_type_symbol
_atom_site_fract_x
_atom_site_fract_y
_atom_site_fract_z
Sr1 Sr 0.000 0.000 0.000
Ho1 Ho 0.250 0.250 0.750
Ga1 Ga 0.000 0.000 0.500

=====

Record 2
# SrHoGaTe3 PBE-GGA optimized geometry
# * crystal system: orthorhombic
data_SrHoGaTe3
_cell_length_a 4.491
_cell_length_b 15.459
_cell_length_c 10.979
_cell_angle_alpha 90.00
_cell_angle_beta 90.00
_cell_angle_gamma 90.00
_symmetry_space_group_name_H-M 'C m c m'
_symmetry_Int_Tables_number 63
_symmetry_space_group_name_Hall '-C 2c 2'
loop_
_atom_site_label
_atom_site_type_symbol
_atom_site_fract_x
_atom_site_fract_y
_atom_site_fract_z
Sr1 Sr 0.000 0.233 0.250
Ho1 Ho 0.000 0.000 0.000
Ga1 Ga 0.000 0.485 0.750
Te1 Te 0.000 0.107 0.750
Te2 Te 0.000 0.359 0.545

=====

Raw total energy, respectively: -2.783; -4.125 eV/atom.